# LiCoBO3

LiCoBO3 after structural relaxation (GGA+U, Alexandria).

a = 8.234 Å, b = 8.234 Å, c = 3.121 Å
α = 90.00°, β = 90.00°, γ = 120.00°
Element x y z (fractional)
Li1 0.045 0.696 0.000
Li2 0.304 0.348 0.000
Li3 0.652 0.955 0.000
Co1 0.357 0.038 0.500
Co2 0.681 0.643 0.500
Co3 0.962 0.319 0.500
B1 0.000 0.000 0.500
B2 0.333 0.667 0.500
B3 0.667 0.333 0.000
O1 0.083 0.890 0.500
O2 0.110 0.194 0.500
O3 0.139 0.585 0.500
O4 0.415 0.554 0.500
O5 0.446 0.861 0.500
O6 0.472 0.224 0.000
O7 0.752 0.528 0.000
O8 0.776 0.248 0.000
O9 0.806 0.917 0.500

Results
- Final energy: -6.67 eV/atom